LaBe2Br | PBE | optimized geometry

Unit cell a=5.8215 b=5.8215 c=4.5491 alpha=112.81 beta=112.81 gamma=41.64
Fractional coordinates of all 4 atoms:
La 0.0000 0.0000 0.0000
Be 0.2773 0.2773 0.0166
Be 0.7227 0.7227 0.9834
Br 0.5000 0.5000 0.5000

Values from the calculation:
The space group is C2/m (12). Its relative energy among the computed polymorphs is 0.1928 eV per atom. The calculation puts the density of states at the Fermi level at 2.26 states/eV per cell. The value obtained for the uncorrected formation energy is 0.038 eV/atom.